VASP calculation (PBE-GGA) on KBe3Ru after structural relaxation.

Values from the calculation:
energy relative to the elements: 2.6847 eV per atom
ΔE to the lowest computed polymorph: 2156 meV per atom

Lattice parameters (Å, degrees): 4.2266 4.2266 4.2266 90.00 90.00 90.00
Space group Pm-3m (No. 221)
Unique sites:
K1 0.0000 0.0000 0.0000 x1
Be1 0.0000 0.0000 0.5000 x3
Ru1 0.5000 0.5000 0.5000 x1

---

VASP calculation (PBE-GGA) on PrScTl after structural relaxation.

Values from the calculation:
energy relative to the elements: -0.1824 eV per atom
ΔE to the lowest computed polymorph: 107 meV per atom

Lattice parameters (Å, degrees): 3.5881 3.5881 13.1802 90.00 90.00 90.00
Space group I4mm (No. 107)
Unique sites:
Pr1 0.0000 0.0000 0.0000 x2
Sc1 0.0000 0.0000 0.6846 x2
Tl1 0.0000 0.0000 0.3220 x2

---

VASP calculation (PBE-GGA) on PrSiO4 after structural relaxation.

Values from the calculation:
formation energy from raw total energies: -251.55 kJ per mole of atoms

Lattice parameters (Å, degrees): 4.6261 4.6992 6.8363 90.00 107.30 90.00
Space group P2_1/m (No. 11)
Unique sites:
Pr1 0.1905 0.2500 0.2871 x2
Si1 0.3203 0.2500 0.8207 x2
O1 0.0280 0.7500 0.1581 x2
O2 0.3145 0.0084 0.6309 x4
O3 0.5000 0.0000 0.0000 x2

---

VASP calculation (PBE-GGA) on MnCoP2 after structural relaxation.

Values from the calculation:
energy relative to the elements: -0.2315 eV per atom
ΔE to the lowest computed polymorph: 379 meV per atom

Lattice parameters (Å, degrees): 2.7338 2.7338 20.7537 90.00 90.00 120.00
Space group R-3m (No. 166, hexagonal axes)
Unique sites:
Mn1 0.0000 0.0000 0.0000 x3
Co1 0.0000 0.0000 0.5000 x3
P1 0.0000 0.0000 0.2511 x6

---

VASP calculation (PBE-GGA) on YTiGaRu2 after structural relaxation.

Values from the calculation:
energy relative to the elements: 0.4274 eV per atom
ΔE to the lowest computed polymorph: 0 meV per atom

Lattice parameters (Å, degrees): 4.6971 4.6971 4.6093 90.00 90.00 90.00
Space group P4/mmm (No. 123)
Unique sites:
Y1 0.0000 0.0000 0.0000 x1
Ti1 0.5000 0.5000 0.0000 x1
Ga1 0.5000 0.5000 0.5000 x1
Ru1 0.0000 0.5000 0.5000 x2

---

VASP calculation (PBE-GGA) on NdHo2Tm4 after structural relaxation.

Values from the calculation:
energy relative to the elements: 0.0781 eV per atom
ΔE to the lowest computed polymorph: 42 meV per atom

Lattice parameters (Å, degrees): 5.9797 8.4085 9.7834 85.00 72.23 69.20
Space group P1 (No. 1)
Unique sites:
Nd1 0.0000 0.0000 0.0000 x1
Nd2 0.2899 0.1447 0.2783 x1
Ho1 0.1060 0.5720 0.1392 x1
Ho2 0.1149 0.5039 0.5018 x1
Ho3 0.3038 0.0719 0.6392 x1
Ho4 0.4071 0.6398 0.7768 x1
Tm1 0.4808 0.2217 0.9138 x1
Tm2 0.5144 0.7166 0.4168 x1
Tm3 0.5477 0.7802 0.0622 x1
Tm4 0.6794 0.3642 0.2169 x1
Tm5 0.7260 0.2844 0.5611 x1
Tm6 0.8589 0.8591 0.7174 x1
Tm7 0.9081 0.9220 0.3643 x1
Tm8 0.9339 0.4272 0.8619 x1